Entry 1:
LaCu2Os | the Alexandria database | meta-GGA SCAN | single point on PBEsol structure; total DFT energy (no corrections) = -35.831 eV/atom; formation energy from the elements = 0.514 eV per atom; polymorph energy (0 for the lowest one) = 449 meV per atom; DOS(E_F) = 2.9 states/eV/f.u.
1.0
4.575 0.000 0.000
2.288 3.962 0.000
2.288 1.321 3.736
Cu La Os
2 1 1
direct
0.000 0.000 0.000
0.750 0.750 0.750
0.500 0.500 0.500
0.250 0.250 0.250

Entry 2:
LaCu2Os | the Alexandria database | meta-GGA SCAN | single point on PBEsol structure; total DFT energy (no corrections) = -36.280 eV/atom; formation energy from the elements = 0.066 eV per atom; polymorph energy (0 for the lowest one) = 0 meV per atom; DOS(E_F) = 3.7 states/eV/f.u.
1.0
4.219 0.000 0.000
-2.110 3.671 -0.232
0.000 -2.080 4.935
Cu La Os
2 1 1
direct
0.803 0.606 0.908
0.197 0.394 0.092
0.000 0.000 0.500
0.500 0.000 0.000

Entry 3:
LaCu4P2 | the Alexandria database | meta-GGA SCAN | single point on PBEsol structure; total DFT energy (no corrections) = -18.410 eV/atom; formation energy from the elements = -0.596 eV per atom; DOS(E_F) = 1.5 states/eV/f.u.
1.0
-1.456 3.009 1.947
-8.457 -6.147 3.174
7.404 -4.076 11.833
La Cu P
6 24 12
direct
0.000 0.000 0.000
0.500 0.500 0.500
0.000 0.122 0.728
0.000 0.878 0.272
0.500 0.378 0.228
0.500 0.622 0.772
0.000 0.400 0.053
0.000 0.600 0.947
0.500 0.100 0.553
0.500 0.900 0.447
0.000 0.264 0.537
0.000 0.736 0.463
0.500 0.236 0.037
0.500 0.764 0.963
0.000 0.070 0.438
0.000 0.930 0.562
0.500 0.430 0.938
0.500 0.570 0.062
0.000 0.576 0.330
0.000 0.424 0.670
0.500 0.924 0.830
0.500 0.076 0.170
0.000 0.173 0.288
0.000 0.827 0.712
0.500 0.327 0.788
0.500 0.673 0.212
0.000 0.742 0.086
0.000 0.258 0.914
0.500 0.758 0.586
0.500 0.242 0.414
0.000 0.363 0.387
0.000 0.637 0.613
0.500 0.137 0.887
0.500 0.863 0.113
0.000 0.206 0.131
0.000 0.794 0.869
0.500 0.294 0.631
0.500 0.706 0.369
0.000 0.560 0.163
0.000 0.440 0.837
0.500 0.940 0.663
0.500 0.060 0.337

Entry 4:
La2CuP | the Alexandria database | meta-GGA SCAN | single point on PBEsol structure; total DFT energy (no corrections) = -28.831 eV/atom; formation energy from the elements = -0.879 eV per atom; DOS(E_F) = 3.3 states/eV/f.u.
1.0
-2.358 2.678 -1.852
-2.385 -3.127 -1.486
-1.959 1.858 5.182
P Cu La
1 1 2
direct
0.000 0.558 0.117
0.500 0.686 0.371
0.500 0.984 0.967
0.000 0.272 0.545

Entry 5:
LaCuP | the Alexandria database | meta-GGA SCAN | single point on PBEsol structure; total DFT energy (no corrections) = -24.008 eV/atom; formation energy from the elements = -1.107 eV per atom; DOS(E_F) = 1.5 states/eV/f.u.
1.0
4.000 0.000 0.000
-2.000 3.464 0.000
0.000 0.000 4.193
P Cu La
1 1 1
direct
0.667 0.333 0.500
0.000 0.000 0.500
0.333 0.667 0.000

Entry 6:
LaCu4P3 | the Alexandria database | meta-GGA SCAN | single point on PBEsol structure; total DFT energy (no corrections) = -17.431 eV/atom; formation energy from the elements = -0.544 eV per atom; DOS(E_F) = 1.2 states/eV/f.u.
1.0
5.733 0.000 0.000
0.000 5.733 0.000
0.000 0.000 7.224
La Cu P
2 8 6
direct
0.000 0.500 0.978
0.500 0.000 0.022
0.771 0.729 0.326
0.229 0.729 0.326
0.771 0.271 0.326
0.229 0.271 0.326
0.729 0.771 0.674
0.271 0.771 0.674
0.729 0.229 0.674
0.271 0.229 0.674
0.000 0.000 0.156
0.500 0.500 0.156
0.500 0.500 0.844
0.000 0.000 0.844
0.000 0.500 0.530
0.500 0.000 0.470

Entry 7:
LaCuPS2 | the Alexandria database | meta-GGA SCAN | single point on PBEsol structure; formation energy from raw total energies = 484 meV/atom; total DFT energy (no corrections) = -17.108 eV/atom; DOS(E_F) = 3.0 states/eV/f.u.
1.0
-0.095 -2.806 -4.594
2.491 -4.096 2.451
-4.908 -2.141 1.410
P S Cu La
1 2 1 1
direct
0.000 0.000 0.500
0.000 0.500 0.000
0.500 0.000 0.000
0.500 0.500 0.500
0.000 0.000 0.000

Entry 8:
LaCuPb2 | the Alexandria database | meta-GGA SCAN | single point on PBEsol structure; total DFT energy (no corrections) = -52.694 eV/atom; formation energy from the elements = -0.227 eV per atom; polymorph energy (0 for the lowest one) = 88 meV per atom; DOS(E_F) = 2.3 states/eV/f.u.
1.0
-4.039 1.680 -1.517
1.484 -0.377 -4.370
-0.472 -5.052 2.729
Cu La Pb
1 1 2
direct
0.500 0.500 0.000
0.250 0.750 0.500
0.000 0.000 0.000
0.750 0.250 0.500